Record 1
Material: FeMoAs2
Method: DFT, PBE-GGA
State: optimized geometry

Values from the calculation:
ΔE_f = 1 kJ/mol of atoms
SG = P4mm, No. 99
Energy above the most stable polymorph in this dataset = 194 meV per atom
Raw total energy = -0.26225 hartree per atom

a = 2.7909 Å, b = 2.7909 Å, c = 8.7834 Å
α = 90.00°, β = 90.00°, γ = 90.00°
Atoms (fractional coordinates):
Fe: 0.0000 0.0000 0.0000
Mo: 0.5000 0.5000 0.1948
As: 0.0000 0.0000 0.4201
As: 0.5000 0.5000 0.8258

***

Record 2
Material: Th2NiBi
Method: DFT, PBE-GGA
State: optimized geometry

Values from the calculation:
ΔE_f = -39 kJ/mol of atoms
SG = R-3m, No. 166
Energy above the most stable polymorph in this dataset = 47 meV per atom
Raw total energy = -0.24005 hartree per atom

a = 8.0264 Å, b = 8.0264 Å, c = 8.0264 Å
α = 30.08°, β = 30.08°, γ = 30.08°
Atoms (fractional coordinates):
Th: 0.2346 0.2346 0.2346
Th: 0.7654 0.7654 0.7654
Ni: 0.5000 0.5000 0.5000
Bi: 0.0000 0.0000 0.0000

***

Record 3
Material: Y2Si4Cl
Method: DFT, PBE-GGA
State: optimized geometry

Values from the calculation:
SG = I4/mmm, No. 139
E_form (uncorrected) = 0.341 eV per atom
Raw total energy = -0.17893 hartree per atom

a = 8.1626 Å, b = 8.1626 Å, c = 8.1626 Å
α = 147.30°, β = 147.30°, γ = 46.91°
Atoms (fractional coordinates):
Y: 0.1405 0.1405 0.0000
Y: 0.8595 0.8595 0.0000
Si: 0.0000 0.5000 0.5000
Si: 0.3305 0.3305 0.0000
Si: 0.5000 0.0000 0.5000
Si: 0.6695 0.6695 0.0000
Cl: 0.5000 0.5000 0.0000

***

Record 4
Material: TaTl2ReSn
Method: DFT, PBE-GGA
State: optimized geometry

Values from the calculation:
ΔE_f = 212 kJ/mol of atoms
SG = P4/mmm, No. 123
Raw total energy = -0.16217 hartree per atom

a = 5.4115 Å, b = 5.4115 Å, c = 5.0581 Å
α = 90.00°, β = 90.00°, γ = 90.00°
Atoms (fractional coordinates):
Ta: 0.0000 0.0000 0.0000
Tl: 0.0000 0.5000 0.5000
Tl: 0.5000 0.0000 0.5000
Re: 0.5000 0.5000 0.0000
Sn: 0.5000 0.5000 0.5000

***

Record 5
Material: NdSiO4
Method: DFT, PBE-GGA
State: optimized geometry

Values from the calculation:
SG = I4_1/amd, No. 141
E_form (uncorrected) = -2.748 eV per atom
Raw total energy = -0.28487 hartree per atom

a = 6.0414 Å, b = 6.0414 Å, c = 6.0414 Å
α = 106.43°, β = 106.43°, γ = 115.74°
Atoms (fractional coordinates):
Nd: 0.3750 0.6250 0.7500
Nd: 0.6250 0.3750 0.2500
Si: 0.1250 0.8750 0.2500
Si: 0.8750 0.1250 0.7500
O: 0.1399 0.7137 0.4262
O: 0.2125 0.2863 0.9262
O: 0.2863 0.2125 0.4262
O: 0.2863 0.8601 0.0738
O: 0.7137 0.1399 0.9262
O: 0.7137 0.7875 0.5738
O: 0.7875 0.7137 0.0738
O: 0.8601 0.2863 0.5738

***

Record 6
Material: RbP2SI
Method: DFT, PBE-GGA
State: optimized geometry

Values from the calculation:
SG = P4/mmm, No. 123
E_form (uncorrected) = 1.616 eV per atom
Energy above the most stable polymorph in this dataset = 871 meV per atom
Raw total energy = -0.06897 hartree per atom

a = 6.7814 Å, b = 6.7814 Å, c = 6.0458 Å
α = 90.00°, β = 90.00°, γ = 90.00°
Atoms (fractional coordinates):
Rb: 0.0000 0.0000 0.0000
P: 0.0000 0.5000 0.0000
P: 0.5000 0.0000 0.0000
S: 0.0000 0.0000 0.5000
I: 0.5000 0.5000 0.5000

***

Record 7
Material: Ag2Sb2Pd5
Method: DFT, PBE-GGA
State: optimized geometry

Values from the calculation:
SG = Cmce, No. 64
E_form (uncorrected) = -0.095 eV per atom
Raw total energy = -0.16646 hartree per atom

a = 7.6034 Å, b = 7.6034 Å, c = 7.2100 Å
α = 90.00°, β = 90.00°, γ = 56.46°
Atoms (fractional coordinates):
Ag: 0.2029 0.2029 0.0000
Ag: 0.2971 0.2971 0.5000
Ag: 0.7029 0.7029 0.5000
Ag: 0.7971 0.7971 0.0000
Sb: 0.1539 0.8461 0.6542
Sb: 0.3461 0.6539 0.1542
Sb: 0.6539 0.3461 0.8458
Sb: 0.8461 0.1539 0.3458
Pd: 0.0000 0.0000 0.0000
Pd: 0.0222 0.7285 0.3548
Pd: 0.2285 0.5222 0.8548
Pd: 0.2715 0.9778 0.3548
Pd: 0.4778 0.7715 0.8548
Pd: 0.5000 0.5000 0.5000
Pd: 0.5222 0.2285 0.1452
Pd: 0.7285 0.0222 0.6452
Pd: 0.7715 0.4778 0.1452
Pd: 0.9778 0.2715 0.6452

***

Record 8
Material: InRe2W
Method: DFT, PBE-GGA
State: optimized geometry

Values from the calculation:
ΔE_f = 48 kJ/mol of atoms
SG = Cmm2, No. 35
Raw total energy = -0.35472 hartree per atom

a = 2.8034 Å, b = 2.8034 Å, c = 9.3407 Å
α = 90.00°, β = 90.00°, γ = 114.21°
Atoms (fractional coordinates):
In: 0.0000 0.0000 0.0000
Re: 0.0000 0.0000 0.5039
Re: 0.5000 0.5000 0.7362
W: 0.5000 0.5000 0.2677

***

Record 9
Material: Nd4Zn2O
Method: DFT, PBE-GGA
State: optimized geometry

Values from the calculation:
SG = I4/mmm, No. 139
E_form (uncorrected) = -0.911 eV per atom
Raw total energy = -0.17300 hartree per atom

a = 8.1174 Å, b = 8.1174 Å, c = 8.1174 Å
α = 144.62°, β = 144.62°, γ = 50.91°
Atoms (fractional coordinates):
Nd: 0.0000 0.5000 0.5000
Nd: 0.1820 0.1820 0.0000
Nd: 0.5000 0.0000 0.5000
Nd: 0.8180 0.8180 0.0000
Zn: 0.3789 0.3789 0.0000
Zn: 0.6211 0.6211 0.0000
O: 0.0000 0.0000 0.0000

***

Record 10
Material: TeRu2Br
Method: DFT, PBE-GGA
State: optimized geometry

Values from the calculation:
SG = C2/m, No. 12
E_form (uncorrected) = 0.901 eV per atom
Energy above the most stable polymorph in this dataset = 524 meV per atom
Raw total energy = -0.18157 hartree per atom

a = 5.3321 Å, b = 5.3321 Å, c = 3.1768 Å
α = 106.41°, β = 106.41°, γ = 108.38°
Atoms (fractional coordinates):
Te: 0.0000 0.0000 0.0000
Ru: 0.0000 0.5000 0.0000
Ru: 0.5000 0.0000 0.0000
Br: 0.5000 0.5000 0.0000

***

Record 11
Material: CrFeP2
Method: DFT, PBE-GGA
State: optimized geometry

Values from the calculation:
ΔE_f = -14 kJ/mol of atoms
SG = R-3m, No. 166
Energy above the most stable polymorph in this dataset = 414 meV per atom
Raw total energy = -0.27081 hartree per atom

a = 7.2111 Å, b = 7.2111 Å, c = 7.2111 Å
α = 21.92°, β = 21.92°, γ = 21.92°
Atoms (fractional coordinates):
Cr: 0.0000 0.0000 0.0000
Fe: 0.5000 0.5000 0.5000
P: 0.2485 0.2485 0.2485
P: 0.7515 0.7515 0.7515

***

Record 12
Material: NdH2ClO2
Method: DFT, PBE-GGA
State: optimized geometry

Values from the calculation:
SG = P2_1/m, No. 11
Energy above the most stable polymorph in this dataset = 0 meV per atom
Raw total energy = -0.21872 hartree per atom

a = 6.3236 Å, b = 3.8927 Å, c = 6.8749 Å
α = 90.00°, β = 112.53°, γ = 90.00°
Atoms (fractional coordinates):
Nd: 0.1925 0.2500 0.3692
Nd: 0.8075 0.7500 0.6308
H: 0.1877 0.2500 0.8059
H: 0.3880 0.7500 0.7208
H: 0.6120 0.2500 0.2792
H: 0.8123 0.7500 0.1941
Cl: 0.2492 0.7500 0.0572
Cl: 0.7508 0.2500 0.9428
O: 0.0691 0.2500 0.6638
O: 0.4011 0.7500 0.5838
O: 0.5989 0.2500 0.4162
O: 0.9309 0.7500 0.3362